No. 1
Crystalline Er2BiTe2 at its relaxed geometry. Source: Alexandria, functional GGA-PBE.

Structure (POSCAR):
```
Er2BiTe2
1.0
5.3588 -5.7973 0.0000
5.3588 5.7973 0.0000
-2.8613 0.0000 5.2592
Er Bi Te
4 2 4
Cartesian
3.2128 4.5409 3.9444 Er
4.6435 1.9208 1.3148 Er
3.2128 -1.9208 3.9444 Er
4.6435 -4.5409 1.3148 Er
3.2128 1.4033 3.9444 Bi
4.6435 -1.4033 1.3148 Bi
-0.8047 1.2416 5.0577 Te
0.6260 -1.2416 2.4281 Te
7.2303 1.2416 2.8312 Te
8.6610 -1.2416 0.2015 Te
```

Its space-group type is No. 15. Its density of states at the Fermi level is 0.57 states/eV per atom. Its uncorrected formation energy is -82 kJ per mole of atoms.

No. 2
Crystalline CsZnGaHg2 at its relaxed geometry. Source: Alexandria, functional GGA-PBE.

Structure (POSCAR):
```
CsZnGaHg2
1.0
5.5718 0.0000 0.0000
0.0000 5.5718 0.0000
0.0000 0.0000 5.0954
Cs Zn Ga Hg
1 1 1 2
Cartesian
0.0000 0.0000 0.0000 Cs
2.7859 2.7859 2.5477 Zn
2.7859 2.7859 0.0000 Ga
0.0000 2.7859 2.5477 Hg
2.7859 0.0000 2.5477 Hg
```

The value obtained for the formation energy from the elements is -0.01 eV per atom. Its space-group type is No. 123. Its density of states at the Fermi level is 0.40 states/eV per atom. The value obtained for the energy above the most stable polymorph in this dataset is 0.015 eV per atom.

No. 3
Crystalline KNiMo at its relaxed geometry. Source: Alexandria, functional GGA-PBE.

Structure (POSCAR):
```
KNiMo
1.0
0.0000 3.2571 3.2571
3.2571 0.0000 3.2571
3.2571 3.2571 0.0000
K Ni Mo
1 1 1
Cartesian
0.0000 0.0000 0.0000 K
4.8856 4.8856 4.8856 Ni
3.2571 3.2571 3.2571 Mo
```

The value obtained for the formation energy from the elements is 1.80 eV per atom. Its space-group type is No. 216. Its density of states at the Fermi level is 1.96 states/eV per atom. The value obtained for the energy above the most stable polymorph in this dataset is 1.002 eV per atom.

No. 4
Crystalline HoNp at its relaxed geometry. Source: Alexandria, functional GGA-PBE.

Structure (POSCAR):
```
HoNp
1.0
3.3140 0.0000 0.0000
-1.6570 2.8700 0.0000
0.0000 0.0000 5.7340
Ho Np
1 1
Cartesian
0.0000 0.0000 0.0000 Ho
1.6570 0.9567 2.8670 Np
```

The value obtained for the formation energy from the elements is 0.52 eV per atom. Its space-group type is No. 187. Its density of states at the Fermi level is 3.15 states/eV per atom.

No. 5
Crystalline PIrBr2 at its relaxed geometry. Source: Alexandria, functional GGA-PBE.

Structure (POSCAR):
```
PIrBr2
1.0
11.0270 -1.3208 0.0000
11.0270 1.3208 0.0000
-0.6075 0.0000 3.8076
P Ir Br
1 1 2
Cartesian
0.0000 0.0000 0.0000 P
10.7233 0.0000 1.9038 Ir
3.3789 0.0000 0.5198 Br
18.0678 0.0000 3.2877 Br
```

Its space-group type is No. 12. Its density of states at the Fermi level is 0.60 states/eV per atom. Its uncorrected formation energy is 23 kJ per mole of atoms. The value obtained for the energy above the most stable polymorph in this dataset is 0.678 eV per atom.

No. 6
Crystalline Ca4HgPt2 at its relaxed geometry. Source: Alexandria, functional GGA-PBE.

Structure (POSCAR):
```
Ca4HgPt2
1.0
2.5671 -4.4487 0.0000
2.5671 4.4487 0.0000
0.0000 0.0000 15.7905
Ca Hg Pt
8 2 4
Cartesian
0.0000 0.0000 0.0000 Ca
0.0000 0.0000 7.8953 Ca
2.5671 1.4873 9.7841 Ca
2.5671 1.4873 13.9017 Ca
2.5671 1.4770 3.9476 Ca
2.5671 -1.4770 11.8429 Ca
2.5671 -1.4873 1.8888 Ca
2.5671 -1.4873 6.0064 Ca
2.5671 4.4423 3.9476 Hg
2.5671 -4.4423 11.8429 Hg
2.5671 1.4798 1.0006 Pt
2.5671 1.4798 6.8947 Pt
2.5671 -1.4798 8.8958 Pt
2.5671 -1.4798 14.7900 Pt
```

The value obtained for the formation energy from the elements is -0.69 eV per atom. Its space-group type is No. 63. Its density of states at the Fermi level is 0.45 states/eV per atom.